The following is a SCAN calculation of a PBEsol-optimized structure of Na2IrN, from Alexandria via LeMat-Bulk.

## Properties
Theoretical density: 4.49 g cm⁻³
Space group: No. 122
E_form (uncorrected): -0.156 eV per atom
Calculated total energy: -22.361 eV per atom

Cell lengths 10.039, 10.039, 3.702 Å; angles 90.00, 90.00, 90.00 degrees
Positions (direct):
Na 0.001 0.750 0.125
Na 0.250 0.001 0.875
Na 0.250 0.499 0.375
Na 0.499 0.750 0.625
Na 0.501 0.250 0.625
Na 0.750 0.501 0.375
Na 0.750 0.999 0.875
Na 0.999 0.250 0.125
Ir 0.000 0.000 0.500
Ir 0.000 0.500 0.750
Ir 0.500 0.000 0.250
Ir 0.500 0.500 0.000
N 0.000 0.000 0.000
N 0.000 0.500 0.250
N 0.500 0.000 0.750
N 0.500 0.500 0.500